This record from the Alexandria database describes a relaxed Ca3Zn3Si crystal. The functional is GGA-PBE.

a = 4.2659 Å, b = 5.8082 Å, c = 14.5270 Å
α = 84.84°, β = 81.56°, γ = 68.46°
Last column: nearest neighbours and their distance in Å.
Positions (direct):
Ca  0.5390  0.3130  0.6090  7 Zn 3.02-3.30, 3 Si 3.09-3.16
Zn  0.8990  0.1243  0.0777  2 Zn 2.64-2.65
Ca  0.7573  0.7242  0.7613  6 Zn 3.08-3.27, 2 Si 3.15
Ca  0.4610  0.6870  0.3910  7 Zn 3.02-3.30, 3 Si 3.09-3.16
Ca  0.6052  0.7077  0.0819  7 Zn 3.10-3.24
Zn  0.8579  0.7469  0.5373  3 Si 2.53-2.81
Zn  0.1421  0.2531  0.4627  3 Si 2.53-2.81
Zn  0.9488  0.8652  0.2372  1 Si 2.57, 1 Zn 2.64
Zn  0.1010  0.8757  0.9223  2 Zn 2.64-2.65
Ca  0.2427  0.2758  0.2387  6 Zn 3.08-3.27, 2 Si 3.15
Zn  0.0512  0.1348  0.7628  1 Si 2.57, 1 Zn 2.64
Si  0.2456  0.8979  0.6110  4 Zn 2.53-2.81
Ca  0.3948  0.2923  0.9181  7 Zn 3.10-3.24
Si  0.7544  0.1021  0.3890  4 Zn 2.53-2.81

Values from the calculation:
N(E_F)   0.5914 states/eV/atom
E_tot   -34.93 eV/cell
Magnetization   0.00 μB/f.u.


This record from the Alexandria database describes a relaxed CaZn2Si crystal. The functional is GGA-PBE.

a = 4.4439 Å, b = 3.4539 Å, c = 5.2051 Å
α = 89.94°, β = 90.00°, γ = 90.00°
Last column: nearest neighbours and their distance in Å.
Positions (direct):
Ca  0.5000  0.2500  0.2500  8 Zn 3.09-3.10, 4 Si 3.12, 2 Ca 3.45
Si  0.5000  0.7500  0.7500  4 Zn 2.58
Zn  0.0000  0.7488  0.4982  2 Si 2.58, 2 Zn 2.58-2.62
Zn  0.0000  0.7512  0.0018  2 Si 2.58, 2 Zn 2.58-2.62

Values from the calculation:
N(E_F)   0.2399 states/eV/atom
E_tot   -10.51 eV/cell
Magnetization   0.00 μB/f.u.


This record from the Alexandria database describes a relaxed Ca3Zn7Si4 crystal. The functional is GGA-PBE.

a = 4.2382 Å, b = 8.1043 Å, c = 8.2404 Å
α = 70.33°, β = 75.10°, γ = 74.84°
Last column: nearest neighbours and their distance in Å.
Positions (direct):
Zn  0.5054  0.8027  0.1865  3 Si 2.53-2.78, 3 Zn 2.67-2.78
Si  0.6540  0.4706  0.2215  5 Zn 2.52-2.63
Zn  0.6634  0.1939  0.4793  4 Si 2.52-2.63, 1 Zn 2.67
Ca  0.6993  0.8052  0.7962  4 Si 3.01-3.06, 10 Zn 3.05-3.34
Si  0.3460  0.5294  0.7785  5 Zn 2.52-2.63
Ca  0.3007  0.1948  0.2038  4 Si 3.01-3.06, 10 Zn 3.05-3.34
Zn  0.4946  0.1973  0.8135  3 Si 2.53-2.78, 3 Zn 2.67-2.78
Zn  0.8461  0.3791  0.9287  3 Si 2.55-2.63, 3 Zn 2.85
Zn  0.0000  0.0000  0.0000  2 Si 2.69, 6 Zn 2.78-2.85
Ca  0.0000  0.5000  0.5000  6 Si 3.12-3.15, 6 Zn 3.24-3.27
Zn  0.3366  0.8061  0.5207  4 Si 2.52-2.63, 1 Zn 2.67
Si  0.1353  0.0810  0.6483  6 Zn 2.53-2.78
Si  0.8647  0.9190  0.3517  6 Zn 2.53-2.78
Zn  0.1539  0.6209  0.0713  3 Si 2.55-2.63, 3 Zn 2.85

Values from the calculation:
N(E_F)   0.2813 states/eV/atom
E_tot   -40.37 eV/cell
Magnetization   0.00 μB/f.u.


This record from the Alexandria database describes a relaxed CaZn2Si crystal. The functional is GGA-PBE.

a = 5.1266 Å, b = 5.1266 Å, c = 5.1266 Å
α = 131.00°, β = 129.99°, γ = 72.62°
Last column: nearest neighbours and their distance in Å.
Positions (direct):
Zn  0.0036  0.0036  0.0000  4 Si 2.94-3.01, 4 Ca 2.97-2.98, 4 Zn 3.04
Zn  0.4964  0.4964  0.0000  4 Si 2.94-3.01, 4 Ca 2.97-2.98, 4 Zn 3.04
Ca  0.7500  0.2500  0.5000  8 Zn 2.97-2.98, 4 Si 3.04
Si  0.2500  0.7500  0.5000  8 Zn 2.94-3.01, 4 Ca 3.04

Values from the calculation:
N(E_F)   0.4151 states/eV/atom
E_tot   -10.20 eV/cell
Magnetization   0.00 μB/f.u.


This record from the Alexandria database describes a relaxed CaZn2Si crystal. The functional is GGA-PBE.

a = 4.7452 Å, b = 4.7452 Å, c = 8.9785 Å
α = 74.68°, β = 74.68°, γ = 90.00°
Last column: nearest neighbours and their distance in Å.
Positions (direct):
Zn  0.4102  0.1250  0.2500  2 Zn 2.40, 2 Si 2.40
Ca  0.7500  0.2500  0.5000  8 Zn 3.26-3.49, 4 Si 3.36
Zn  0.3398  0.6250  0.2500  2 Zn 2.40, 2 Si 2.40
Zn  0.3750  0.5898  0.7500  2 Zn 2.40, 2 Si 2.40
Si  0.2500  0.7500  0.5000  4 Zn 2.40
Si  0.5000  0.5000  0.0000  4 Zn 2.40
Zn  0.8750  0.6602  0.7500  2 Zn 2.40, 2 Si 2.40
Ca  0.0000  0.0000  0.0000  8 Zn 3.26-3.49, 4 Si 3.36

Values from the calculation:
N(E_F)   0.2924 states/eV/atom
E_tot   -20.25 eV/cell
Magnetization   0.00 μB/f.u.


This record from the Alexandria database describes a relaxed CaZn3Si2 crystal. The functional is GGA-PBE.

a = 4.1217 Å, b = 8.5625 Å, c = 8.1863 Å
α = 51.99°, β = 75.42°, γ = 76.07°
Last column: nearest neighbours and their distance in Å.
Positions (direct):
Ca  0.8529  0.0719  0.2223  7 Si 3.12-3.27, 7 Zn 3.13-3.46
Zn  0.0424  0.6166  0.2987  3 Si 2.52-2.59, 1 Zn 2.57
Zn  0.6191  0.2686  0.4931  3 Si 2.45-2.51, 1 Zn 2.69
Ca  0.1471  0.9281  0.7777  7 Si 3.12-3.27, 7 Zn 3.13-3.46
Si  0.1997  0.3101  0.2905  6 Zn 2.48-2.71
Zn  0.3237  0.4334  0.9192  4 Si 2.48-2.71, 1 Zn 2.69
Si  0.5111  0.8307  0.1471  1 Si 2.37, 4 Zn 2.45-2.54
Si  0.4889  0.1693  0.8529  1 Si 2.37, 4 Zn 2.45-2.54
Zn  0.9576  0.3834  0.7013  3 Si 2.52-2.59, 1 Zn 2.57
Zn  0.3809  0.7314  0.5069  3 Si 2.45-2.51, 1 Zn 2.69
Si  0.8003  0.6899  0.7095  6 Zn 2.48-2.71
Zn  0.6763  0.5666  0.0808  4 Si 2.48-2.71, 1 Zn 2.69

Values from the calculation:
N(E_F)   0.2225 states/eV/atom
E_tot   -35.46 eV/cell
Magnetization   0.00 μB/f.u.


This record from the Alexandria database describes a relaxed Ca2ZnSi2 crystal. The functional is GGA-PBE.

a = 4.3240 Å, b = 5.8748 Å, c = 9.6959 Å
α = 81.81°, β = 77.12°, γ = 68.41°
Last column: nearest neighbours and their distance in Å.
Positions (direct):
Zn  0.4308  0.8187  0.3196  3 Si 2.46-2.51
Si  0.3872  0.1185  0.1071  1 Si 2.47, 1 Zn 2.51
Ca  0.1019  0.7013  0.0950  6 Si 3.01-3.18, 2 Zn 3.13
Si  0.9564  0.6704  0.4168  1 Si 2.35, 2 Zn 2.46
Si  0.6128  0.8815  0.8929  1 Si 2.47, 1 Zn 2.51
Ca  0.2900  0.7622  0.6579  7 Si 3.13-3.31, 4 Zn 3.17-3.19
Zn  0.5692  0.1813  0.6804  3 Si 2.46-2.51
Ca  0.8981  0.2987  0.9050  6 Si 3.01-3.18, 2 Zn 3.13
Si  0.0436  0.3296  0.5832  1 Si 2.35, 2 Zn 2.46
Ca  0.7100  0.2378  0.3421  7 Si 3.13-3.31, 4 Zn 3.17-3.19

Values from the calculation:
N(E_F)   0.4033 states/eV/atom
E_tot   -36.61 eV/cell
Magnetization   0.00 μB/f.u.


This record from the Alexandria database describes a relaxed CaZn2Si crystal. The functional is GGA-PBE.

a = 3.3880 Å, b = 3.3880 Å, c = 6.7925 Å
α = 90.00°, β = 90.00°, γ = 89.97°
Last column: nearest neighbours and their distance in Å.
Positions (direct):
Si  0.5000  0.5000  0.7500  8 Zn 2.75
Zn  0.0000  0.0000  0.9476  1 Zn 2.68, 4 Si 2.75
Zn  0.0000  0.0000  0.5524  1 Zn 2.68, 4 Si 2.75
Ca  0.5000  0.5000  0.2500  8 Zn 3.16, 4 Ca 3.39, 2 Si 3.40

Values from the calculation:
N(E_F)   0.3764 states/eV/atom
E_tot   -10.01 eV/cell
Magnetization   0.00 μB/f.u.


This record from the Alexandria database describes a relaxed CaZn11Si crystal. The functional is GGA-PBE.

a = 5.2553 Å, b = 6.8556 Å, c = 6.8203 Å
α = 81.57°, β = 67.34°, γ = 67.63°
Last column: nearest neighbours and their distance in Å.
Positions (direct):
Zn  0.2792  0.2176  0.2184  8 Zn 2.59-2.87, 1 Si 2.62
Zn  0.5000  0.0000  0.5000  10 Zn 2.59-2.75
Zn  0.7208  0.7824  0.7816  8 Zn 2.59-2.87, 1 Si 2.62
Si  0.5000  0.5000  0.0000  10 Zn 2.62-2.78
Ca  0.0000  0.0000  0.0000  18 Zn 3.18-3.43, 2 Si 3.43
Zn  0.5024  0.7824  0.2184  8 Zn 2.59-2.87, 1 Si 2.62
Zn  0.3524  0.6464  0.6424  7 Zn 2.58-2.87, 1 Si 2.78
Zn  0.6476  0.3536  0.3576  7 Zn 2.58-2.87, 1 Si 2.78
Zn  0.0052  0.3536  0.6424  7 Zn 2.58-2.87, 1 Si 2.78
Zn  0.9948  0.6464  0.3576  7 Zn 2.58-2.87, 1 Si 2.78
Zn  0.0000  0.0000  0.5000  10 Zn 2.59-2.75
Zn  0.0000  0.5000  0.0000  8 Zn 2.61-2.76, 2 Si 2.63
Zn  0.4976  0.2176  0.7816  8 Zn 2.59-2.87, 1 Si 2.62

Values from the calculation:
N(E_F)   0.2549 states/eV/atom
E_tot   -22.42 eV/cell
Magnetization   0.00 μB/f.u.


This record from the Alexandria database describes a relaxed CaZn6Si2 crystal. The functional is GGA-PBE.

a = 4.0935 Å, b = 4.0935 Å, c = 9.0484 Å
α = 90.00°, β = 90.00°, γ = 90.00°
Last column: nearest neighbours and their distance in Å.
Positions (direct):
Zn  0.5000  0.5000  0.5000  12 Zn 2.75-2.89
Zn  0.0000  0.0000  0.5000  12 Zn 2.75-2.89
Zn  0.5000  0.0000  0.7024  2 Si 2.53, 4 Zn 2.75
Si  0.5000  0.5000  0.8669  1 Si 2.41, 4 Zn 2.53
Zn  0.0000  0.5000  0.7024  2 Si 2.53, 4 Zn 2.75
Ca  0.0000  0.0000  0.0000  8 Si 3.13, 8 Zn 3.38
Si  0.5000  0.5000  0.1331  1 Si 2.41, 4 Zn 2.53
Zn  0.5000  0.0000  0.2977  2 Si 2.53, 4 Zn 2.75
Zn  0.0000  0.5000  0.2977  2 Si 2.53, 4 Zn 2.75

Values from the calculation:
N(E_F)   0.2501 states/eV/atom
E_tot   -21.57 eV/cell
Magnetization   0.00 μB/f.u.


This record from the Alexandria database describes a relaxed CaZn3Si crystal. The functional is GGA-PBE.

a = 5.4035 Å, b = 5.4035 Å, c = 5.4035 Å
α = 90.00°, β = 90.00°, γ = 90.00°
Last column: nearest neighbours and their distance in Å.
Positions (direct):
Si  0.5000  0.5000  0.5000  12 Zn 3.82
Zn  0.0000  0.5000  0.0000  2 Ca 2.70
Ca  0.0000  0.0000  0.0000  6 Zn 2.70
Zn  0.5000  0.0000  0.0000  2 Ca 2.70
Zn  0.0000  0.0000  0.5000  2 Ca 2.70

Values from the calculation:
N(E_F)   1.3218 states/eV/atom
E_tot   -5.30 eV/cell
Magnetization   0.00 μB/f.u.


This record from the Alexandria database describes a relaxed CaZr3Si crystal. The functional is GGA-PBE.

a = 5.1176 Å, b = 5.1176 Å, c = 5.1176 Å
α = 90.00°, β = 90.00°, γ = 90.00°
Last column: nearest neighbours and their distance in Å.
Positions (direct):
Ca  0.5000  0.5000  0.5000  12 Zr 3.62
Zr  0.5000  0.0000  0.0000  2 Si 2.56
Zr  0.0000  0.5000  0.0000  2 Si 2.56
Si  0.0000  0.0000  0.0000  6 Zr 2.56
Zr  0.0000  0.0000  0.5000  2 Si 2.56

Values from the calculation:
N(E_F)   1.2420 states/eV/atom
E_tot   -32.47 eV/cell
Magnetization   0.00 μB/f.u.